# GGA+U TaNiBi2O6, relaxed
data_TaNiBi2O6
_chemical_formula_sum 'Ta2 Ni2 Bi4 O12'
_cell_length_a 5.184
_cell_length_b 5.663
_cell_length_c 10.581
_cell_angle_alpha 90.00
_cell_angle_beta 112.39
_cell_angle_gamma 90.00
_space_group_name_H-M_alt 'P 1 21/c 1'
_space_group_IT_number 14
_space_group_name_Hall '-P 2ybc'
loop_
_atom_site_label
_atom_site_type_symbol
_atom_site_fract_x
_atom_site_fract_y
_atom_site_fract_z
Ta1 Ta 0.000 0.000 0.000
Ni1 Ni 0.500 0.000 0.500
Bi1 Bi 0.212 0.035 0.710
O1 O 0.145 0.210 0.883
O2 O 0.186 0.719 0.961
O3 O 0.329 0.092 0.167
# Calculated total energy = -6.81 eV per atom